A geometry-optimized CsGa2AgSn8 structure, computed with PBE-GGA.

Summary:
The calculation puts the energy relative to the elements at 0.035 eV/atom. The density of states at the Fermi level is 5.16 states/eV/f.u. As for the magnetic moment: 0.000 Bohr magnetons per cell. The value obtained for the energy is -3.4470 eV/atom.

Unit cell a=10.6940 b=10.6940 c=10.6940 alpha=34.54 beta=34.54 gamma=34.54
With the nearest neighbours (Å) after each atom.
Sites, in units of the cell vectors:
Cs 0.0000 0.0000 0.0000  6 Ga 3.92, 12 Sn 4.02-4.15
Ga 0.2872 0.2872 0.2872  3 Sn 2.95
Ga 0.7128 0.7128 0.7128  3 Sn 2.95
Ag 0.5000 0.5000 0.5000  8 Sn 3.02-3.09
Sn 0.0415 0.8758 0.4385  1 Ga 2.95, 1 Ag 3.02, 4 Sn 3.08-3.18
Sn 0.1242 0.5615 0.9585  1 Ga 2.95, 1 Ag 3.02, 4 Sn 3.08-3.18
Sn 0.3976 0.3976 0.3976  1 Ag 3.09, 3 Sn 3.11, 1 Ga 3.33
Sn 0.4385 0.0415 0.8758  1 Ga 2.95, 1 Ag 3.02, 4 Sn 3.08-3.18
Sn 0.5615 0.9585 0.1242  1 Ga 2.95, 1 Ag 3.02, 4 Sn 3.08-3.18
Sn 0.6024 0.6024 0.6024  1 Ag 3.09, 3 Sn 3.11, 1 Ga 3.33
Sn 0.8758 0.4385 0.0415  1 Ga 2.95, 1 Ag 3.02, 4 Sn 3.08-3.18
Sn 0.9585 0.1242 0.5615  1 Ga 2.95, 1 Ag 3.02, 4 Sn 3.08-3.18